A plane-wave DFT calculation with PBE was carried out for a geometry-optimized ZnCdAs2 structure.

Results
DFT total energy, eV per formula unit: -10.766
Excess energy over the best structure of this formula in the dataset, meV per atom: 130
Crystal system: tetragonal
Spin magnetization, μB/atom: 0.00

Unit cell a=3.819 b=3.819 c=5.566 alpha=90.00 beta=90.00 gamma=90.00
Space group P4/mmm (No. 123)
Asymmetric unit:
Zn 0.000 0.000 0.000
Cd 0.000 0.000 0.500
As 0.500 0.500 0.221

A plane-wave DFT calculation with PBE was carried out for a geometry-optimized ZnCdAs2 structure.

Results
DFT total energy, eV per formula unit: -10.641
Excess energy over the best structure of this formula in the dataset, meV per atom: 161
Crystal system: orthorhombic
Spin magnetization, μB/atom: 0.00

Unit cell a=3.890 b=4.949 c=8.276 alpha=90.00 beta=90.00 gamma=90.00
Space group Cmmm (No. 65)
Asymmetric unit:
Zn 0.000 0.000 0.000
Cd 0.000 0.000 0.500
As 0.000 0.500 0.224

A plane-wave DFT calculation with PBE was carried out for a geometry-optimized ZnCdAs2 structure.

Results
DFT total energy, eV per formula unit: -10.714
Excess energy over the best structure of this formula in the dataset, meV per atom: 143
Crystal system: orthorhombic
Spin magnetization, μB/atom: 0.00

Unit cell a=2.716 b=3.832 c=7.738 alpha=90.00 beta=90.00 gamma=90.00
Space group Pmmm (No. 47)
Asymmetric unit:
Zn 0.000 0.000 0.000
Cd 0.000 0.000 0.500
As 0.500 0.500 0.221

A plane-wave DFT calculation with PBE was carried out for a geometry-optimized ZnCdAs3 structure.

Results
DFT total energy, eV per formula unit: -10.838
Excess energy over the best structure of this formula in the dataset, meV per atom: 415
Crystal system: cubic
Spin magnetization, μB/atom: 0.00

Unit cell a=5.169 b=5.169 c=5.169 alpha=90.00 beta=90.00 gamma=90.00
Space group Pm-3m (No. 221)
Asymmetric unit:
Zn 0.000 0.000 0.000
Cd 0.500 0.500 0.500
As 0.000 0.500 0.500

A plane-wave DFT calculation with PBE was carried out for a geometry-optimized ZnCdAs2 structure.

Results
DFT total energy, eV per formula unit: -10.440
Excess energy over the best structure of this formula in the dataset, meV per atom: 212
Crystal system: tetragonal
Spin magnetization, μB/atom: 0.00

Unit cell a=4.352 b=4.352 c=4.198 alpha=90.00 beta=90.00 gamma=90.00
Space group P4/mmm (No. 123)
Asymmetric unit:
Zn 0.000 0.000 0.000
Cd 0.500 0.500 0.000
As 0.000 0.500 0.500

A plane-wave DFT calculation with PBE was carried out for a geometry-optimized ZnCdAs2 structure.

Results
DFT total energy, eV per formula unit: -10.421
Excess energy over the best structure of this formula in the dataset, meV per atom: 216
Crystal system: tetragonal
Spin magnetization, μB/atom: 0.00

Unit cell a=4.253 b=4.253 c=8.731 alpha=90.00 beta=90.00 gamma=90.00
Space group I-4m2 (No. 119)
Asymmetric unit:
Zn 0.000 0.000 0.000
Cd 0.000 0.500 0.250
As 0.000 0.000 0.500
As 0.000 0.500 0.750

A plane-wave DFT calculation with PBE was carried out for a geometry-optimized ZnCdAs2 structure.

Results
DFT total energy, eV per formula unit: -10.884
Excess energy over the best structure of this formula in the dataset, meV per atom: 101
Crystal system: monoclinic
Spin magnetization, μB/atom: 0.00

Unit cell a=5.782 b=7.449 c=4.297 alpha=90.00 beta=115.55 gamma=90.00
Space group C2/m (No. 12)
Asymmetric unit:
Zn 0.000 0.000 0.000
Cd 0.000 0.500 0.000
As 0.250 0.250 0.500

A plane-wave DFT calculation with PBE was carried out for a geometry-optimized ZnCdAs2 structure.

Results
DFT total energy, eV per formula unit: -10.353
Excess energy over the best structure of this formula in the dataset, meV per atom: 233
Crystal system: trigonal
Spin magnetization, μB/atom: 0.00

Unit cell a=3.1090 b=3.1090 c=28.5646 alpha=90.00 beta=90.00 gamma=120.00
Space group R3m (No. 160, hexagonal axes)
Asymmetric unit:
Zn 0.0000 0.0000 0.0000
Cd 0.0000 0.0000 0.2511
As 0.0000 0.0000 0.5025
As 0.0000 0.0000 0.7354

A plane-wave DFT calculation with PBE was carried out for a geometry-optimized ZnCdAs2 structure.

Results
DFT total energy, eV per formula unit: -10.997
Excess energy over the best structure of this formula in the dataset, meV per atom: 72
Crystal system: tetragonal
Spin magnetization, μB/atom: 0.00

Unit cell a=6.110 b=6.110 c=10.960 alpha=90.00 beta=90.00 gamma=90.00
Space group I-42d (No. 122)
Asymmetric unit:
Zn 0.000 0.000 0.000
Cd 0.000 0.000 0.500
As 0.219 0.250 0.125

A plane-wave DFT calculation with PBE was carried out for a geometry-optimized ZnCdAs2 structure.

Results
DFT total energy, eV per formula unit: -11.218
Excess energy over the best structure of this formula in the dataset, meV per atom: 17
Crystal system: monoclinic
Spin magnetization, μB/atom: 0.00

Unit cell a=11.344 b=3.604 c=4.674 alpha=90.00 beta=107.30 gamma=90.00
Space group C2/m (No. 12)
Asymmetric unit:
Zn 0.000 0.000 0.000
Cd 0.000 0.500 0.500
As 0.234 0.000 0.167

A plane-wave DFT calculation with PBE was carried out for a geometry-optimized ZnCdAs2 structure.

Results
DFT total energy, eV per formula unit: -10.718
Excess energy over the best structure of this formula in the dataset, meV per atom: 142
Crystal system: trigonal
Spin magnetization, μB/atom: 0.00

Unit cell a=3.0675 b=3.0675 c=29.7135 alpha=90.00 beta=90.00 gamma=120.00
Space group R-3m (No. 166, hexagonal axes)
Asymmetric unit:
Zn 0.0000 0.0000 0.0000
Cd 0.0000 0.0000 0.5000
As 0.0000 0.0000 0.2649

A plane-wave DFT calculation with PBE was carried out for a geometry-optimized Zn2CdAs2 structure.

Results
DFT total energy, eV per formula unit: -11.996
Crystal system: tetragonal
Spin magnetization, μB/atom: 0.00

Unit cell a=7.863 b=7.863 c=3.188 alpha=90.00 beta=90.00 gamma=90.00
Space group P4/mbm (No. 127)
Asymmetric unit:
Zn 0.120 0.380 0.000
Cd 0.000 0.000 0.500
As 0.185 0.685 0.500

Energy of formation from the pure elements: 181 212 194 1060 262 267 151 284 123 67 193 153 (meV per atom)